4
Lattice="6.4625 0.0000 0.0000 0.0000 6.4625 0.0000 0.0000 0.0000 2.5669" Properties=species:S:1:pos:R:3 comment="GGA-PBE K2ReRu, optimized geometry" delta_e_f_ev_per_atom=1.94 e_tot_ev_per_atom=-4.04 pbc="T T T"
K 0.0000 3.2313 0.0000
K 3.2313 0.0000 0.0000
Re 0.0000 0.0000 1.2835
Ru 3.2313 3.2313 1.2835

=====

4
Lattice="1.4881 -2.4892 0.0000 1.4881 2.4892 0.0000 0.0000 0.0000 10.6058" Properties=species:S:1:pos:R:3 comment="GGA-PBE ReAsSe2, optimized geometry" raw_formation_energy_mev_per_atom=456 e_tot_ev_per_atom=-5.56 pbc="T T T"
Re 0.0000 0.0000 0.0000
As 1.4881 0.0000 2.1532
Se 0.0000 0.0000 5.3575
Se 1.4881 0.0000 8.5453